Below is CoAgPdBr2 at its PBEsol-relaxed geometry, with properties calculated at the SCAN level.

a = 4.5616 Å, b = 4.5616 Å, c = 4.8956 Å
α = 90.00°, β = 90.00°, γ = 90.00°
Sites, in units of the cell vectors:
Co  0.0000  0.0000  0.0000
Ag  0.0000  0.0000  0.5000
Pd  0.5000  0.5000  0.5000
Br  0.0000  0.5000  0.0000
Br  0.5000  0.0000  0.0000

Results
- formation energy without anion corrections (eV per atom) = 0.55
- symmetry = P4/mmm
- DFT total energy (eV/atom) = -23.527
- density of states at the Fermi level (states/eV per atom) = 0.70